First-principles (PBE) data for ZrCdF2 after structural relaxation, as listed in the Alexandria database.

Computed properties:
Space-group type: Fm-3m (225)
E_form (uncorrected) (eV per atom): -1.20
Uncorrected energy (eV/atom): -4.5047
E above lowest polymorph (meV/atom): 775

a b c (Å): 4.4862 4.4862 4.4862
angles (deg): 60.00 60.00 60.00
Last column: nearest neighbours and their distance in Å.
Fractional coordinates of all 4 atoms:
1 F 0.2500 0.2500 0.2500  4 Cd 2.75, 4 Zr 2.75
2 F 0.7500 0.7500 0.7500  4 Zr 2.75, 4 Cd 2.75
3 Zr 0.0000 0.0000 0.0000  8 F 2.75
4 Cd 0.5000 0.5000 0.5000  8 F 2.75

First-principles (PBE) data for PmTm3Mg after structural relaxation, as listed in the Alexandria database.

Computed properties:
Space-group type: P2_1/m (11)
Uncorrected energy (eV/atom): -3.5583
E above lowest polymorph (meV/atom): 405

a b c (Å): 5.2053 6.3786 10.9908
angles (deg): 90.00 90.00 114.02
Last column: nearest neighbours and their distance in Å.
Fractional coordinates of all 10 atoms:
1 Pm 0.9649 0.4259 0.2500  2 Mg 3.09, 5 Tm 3.25-3.46
2 Pm 0.0351 0.5741 0.7500  2 Mg 3.09, 5 Tm 3.25-3.46
3 Tm 0.8463 0.1944 0.9807  1 Mg 3.20, 2 Pm 3.25-3.36, 2 Tm 3.47-3.48
4 Tm 0.1537 0.8056 0.0193  1 Mg 3.20, 2 Pm 3.25-3.36, 2 Tm 3.47-3.48
5 Tm 0.8463 0.1944 0.5193  1 Mg 3.20, 2 Pm 3.25-3.36, 2 Tm 3.47-3.48
6 Tm 0.1537 0.8056 0.4807  1 Mg 3.20, 2 Pm 3.25-3.36, 2 Tm 3.47-3.48
7 Tm 0.6679 0.8325 0.2500  2 Mg 3.16, 3 Pm 3.46-3.52
8 Tm 0.3321 0.1675 0.7500  2 Mg 3.16, 3 Pm 3.46-3.52
9 Mg 0.3215 0.1395 0.2500  2 Pm 3.09, 4 Tm 3.16-3.20
10 Mg 0.6785 0.8605 0.7500  2 Pm 3.09, 4 Tm 3.16-3.20

First-principles (PBE) data for InPtN2 after structural relaxation, as listed in the Alexandria database.

Computed properties:
Space-group type: I-42d (122)
E_form (uncorrected) (eV per atom): 0.78
Uncorrected energy (eV/atom): -5.5788

a b c (Å): 4.7708 4.7708 6.2907
angles (deg): 67.72 67.72 90.00
Last column: nearest neighbours and their distance in Å.
Fractional coordinates of all 8 atoms:
1 N 0.6531 0.1250 0.2500  2 Pt 2.07, 2 In 2.22
2 N 0.0969 0.6250 0.2500  2 Pt 2.07, 2 In 2.22
3 N 0.3750 0.3469 0.7500  2 Pt 2.07, 2 In 2.22
4 N 0.8750 0.9031 0.7500  2 Pt 2.07, 2 In 2.22
5 Pt 0.0000 0.0000 0.0000  4 N 2.07
6 Pt 0.7500 0.2500 0.5000  4 N 2.07
7 In 0.5000 0.5000 0.0000  4 N 2.22
8 In 0.2500 0.7500 0.5000  4 N 2.22

It is found that the calculated density values, taken in the order of the records, are 6.28, 6.74, 9.29 Mg/m³.
It is found that the M_tot values, taken in the order of the records, are 2.0, 0.0, 0.0 μB/f.u..